Below is a relaxed structure of NaSm5Mg4, with properties calculated at the GGA-PBE level.

Energy of formation from the pure elements (eV/atom): -0.0174

Cell: 3.8593 3.8593 19.8952 Å, 90.00 90.00 90.00°
Closest atoms and distances in Å follow each position.
Positions (direct):
Na 0.0000 0.0000 0.0000  8 Sm 3.62, 4 Na 3.86
Sm 0.5000 0.5000 0.1195  4 Mg 3.30, 4 Na 3.62
Sm 0.5000 0.5000 0.3067  8 Mg 3.31-3.33
Sm 0.5000 0.5000 0.5000  8 Mg 3.34
Sm 0.5000 0.5000 0.6933  8 Mg 3.31-3.33
Sm 0.5000 0.5000 0.8805  4 Mg 3.30, 4 Na 3.62
Mg 0.0000 0.0000 0.2128  8 Sm 3.30-3.31
Mg 0.0000 0.0000 0.4029  8 Sm 3.33-3.34
Mg 0.0000 0.0000 0.5971  8 Sm 3.33-3.34
Mg 0.0000 0.0000 0.7872  8 Sm 3.30-3.31



Below is a relaxed structure of Nb3ReSe, with properties calculated at the GGA-PBE level.

Formation energy from raw total energies (kJ/mol of atoms): 101.6
Relative energy among the computed polymorphs (meV per atom): 0

Cell: 4.6556 4.6556 4.6556 Å, 90.00 90.00 90.00°
Closest atoms and distances in Å follow each position.
Positions (direct):
Re 0.5000 0.5000 0.5000  12 Nb 3.29
Nb 0.0000 0.5000 0.0000  2 Se 2.33
Nb 0.0000 0.0000 0.5000  2 Se 2.33
Nb 0.5000 0.0000 0.0000  2 Se 2.33
Se 0.0000 0.0000 0.0000  6 Nb 2.33